No. 1
Material: RuAu2
Method: DFT, PBE
State: optimized geometry

Computed properties:
Mass density = 16.17 g/cm³
Formation enthalpy at 0 K = 363 meV/atom
Magnetic moment = 0.8 μB/f.u.
Relative energy among the computed polymorphs = 51 meV per atom

Cell: 5.887 3.934 8.778 Å, 90.00 90.00 90.00°
Fractional positions:
Ru  0.091  0.250  0.062
Ru  0.409  0.750  0.562
Ru  0.591  0.250  0.438
Ru  0.909  0.750  0.938
Au  0.114  0.250  0.411
Au  0.143  0.250  0.745
Au  0.357  0.750  0.245
Au  0.386  0.750  0.911
Au  0.614  0.250  0.089
Au  0.643  0.250  0.755
Au  0.857  0.750  0.255
Au  0.886  0.750  0.589



No. 2
Material: Ru5Au
Method: DFT, PBE
State: optimized geometry

Computed properties:
Mass density = 13.38 g/cm³
Formation enthalpy at 0 K = 202 meV/atom
Magnetic moment = 0.0 μB/f.u.
Relative energy among the computed polymorphs = 0 meV per atom

Cell: 5.214 5.214 6.458 Å, 103.55 103.55 30.80°
Fractional positions:
Ru  0.000  0.000  0.000
Ru  0.052  0.052  0.593
Ru  0.383  0.383  0.262
Ru  0.655  0.655  0.316
Ru  0.711  0.711  0.944
Au  0.328  0.328  0.660



No. 3
Material: RuAu
Method: DFT, PBE
State: optimized geometry

Computed properties:
Mass density = 15.35 g/cm³
Formation enthalpy at 0 K = 219 meV/atom
Magnetic moment = 0.0 μB/f.u.
Relative energy among the computed polymorphs = 41 meV per atom

Cell: 9.542 9.542 9.542 Å, 16.96 16.96 16.96°
Fractional positions:
Ru  0.132  0.132  0.132
Ru  0.868  0.868  0.868
Au  0.379  0.379  0.379
Au  0.621  0.621  0.621



No. 4
Material: Ru2Au
Method: DFT, PBE
State: optimized geometry

Computed properties:
Mass density = 13.88 g/cm³
Formation enthalpy at 0 K = 552 meV/atom
Magnetic moment = 0.0 μB/f.u.
Relative energy among the computed polymorphs = 325 meV per atom

Cell: 5.109 5.109 8.453 Å, 90.00 90.00 120.00°
Fractional positions:
Ru  0.000  0.000  0.000
Ru  0.000  0.000  0.500
Ru  0.173  0.347  0.250
Ru  0.173  0.827  0.250
Ru  0.347  0.173  0.750
Ru  0.653  0.827  0.250
Ru  0.827  0.173  0.750
Ru  0.827  0.653  0.750
Au  0.333  0.667  0.573
Au  0.333  0.667  0.927
Au  0.667  0.333  0.073
Au  0.667  0.333  0.427



No. 5
Material: RuAu
Method: DFT, PBE
State: optimized geometry

Computed properties:
Mass density = 7.92 g/cm³
Formation enthalpy at 0 K = 1393 meV/atom
Magnetic moment = 0.9 μB/f.u.
Relative energy among the computed polymorphs = 1215 meV per atom

Cell: 6.872 6.872 6.872 Å, 109.47 109.47 109.47°
Fractional positions:
Ru  0.000  0.000  0.776
Ru  0.000  0.776  0.000
Ru  0.224  0.224  0.224
Ru  0.776  0.000  0.000
Au  0.000  0.000  0.409
Au  0.000  0.409  0.000
Au  0.409  0.000  0.000
Au  0.591  0.591  0.591



No. 6
Material: Ru3Au2
Method: DFT, PBE
State: optimized geometry

Computed properties:
Mass density = 14.83 g/cm³
Formation enthalpy at 0 K = 344 meV/atom
Magnetic moment = 0.0 μB/f.u.

Cell: 11.678 11.678 11.678 Å, 13.73 13.73 13.73°
Fractional positions:
Ru  0.000  0.000  0.000
Ru  0.195  0.195  0.195
Ru  0.805  0.805  0.805
Au  0.401  0.401  0.401
Au  0.599  0.599  0.599